## a
DFT (GGA-PBEsol) results for Ca2ZnBr after structural relaxation.

Cell and atoms, written as CIF:
```
data_Ca2ZnBr
_cell_length_a 4.816
_cell_length_b 3.744
_cell_length_c 11.871
_cell_angle_alpha 90.00
_cell_angle_beta 90.00
_cell_angle_gamma 90.00
_space_group_name_H-M_alt 'A m m 2'
_space_group_IT_number 38
_space_group_name_Hall 'A 2 -2'
loop_
_atom_site_label
_atom_site_fract_x
_atom_site_fract_y
_atom_site_fract_z
Ca1 0.000 0.000 0.000
Ca2 0.500 0.000 0.258
Zn1 0.500 0.000 0.516
Br1 0.000 0.000 0.746
```

## b
DFT (GGA-PBEsol) results for Ca2ZnBr after structural relaxation.

Cell and atoms, written as CIF:
```
data_Ca2ZnBr
_cell_length_a 4.229
_cell_length_b 4.229
_cell_length_c 6.114
_cell_angle_alpha 90.00
_cell_angle_beta 90.00
_cell_angle_gamma 90.00
_space_group_name_H-M_alt 'P 4/m m m'
_space_group_IT_number 123
_space_group_name_Hall '-P 4 2'
loop_
_atom_site_label
_atom_site_fract_x
_atom_site_fract_y
_atom_site_fract_z
Ca1 0.000 0.000 0.000
Ca2 0.500 0.500 0.500
Zn1 0.000 0.000 0.500
Br1 0.500 0.500 0.000
```

Ordering by calculated energy gives the sequence b, a, with the first entry being the most stable.

## a
DFT (GGA-PBEsol) results for CaZrBr2 after structural relaxation.

Cell and atoms, written as CIF:
```
data_CaZrBr2
_cell_length_a 6.999
_cell_length_b 9.006
_cell_length_c 3.463
_cell_angle_alpha 90.00
_cell_angle_beta 117.95
_cell_angle_gamma 90.00
_space_group_name_H-M_alt 'C 1 2/m 1'
_space_group_IT_number 12
_space_group_name_Hall '-C 2y'
loop_
_atom_site_label
_atom_site_fract_x
_atom_site_fract_y
_atom_site_fract_z
Ca1 0.000 0.000 0.000
Zr1 0.000 0.500 0.000
Br1 0.250 0.250 0.000
```

## b
DFT (GGA-PBEsol) results for CaZrBr2 after structural relaxation.

Cell and atoms, written as CIF:
```
data_CaZrBr2
_cell_length_a 4.984
_cell_length_b 4.984
_cell_length_c 17.750
_cell_angle_alpha 90.00
_cell_angle_beta 90.00
_cell_angle_gamma 90.00
_space_group_name_H-M_alt 'I -4 2 d'
_space_group_IT_number 122
_space_group_name_Hall 'I -4 2bw'
loop_
_atom_site_label
_atom_site_fract_x
_atom_site_fract_y
_atom_site_fract_z
Ca1 0.000 0.000 0.000
Zr1 0.000 0.000 0.500
Br1 0.218 0.250 0.625
```

Ordering by calculated energy gives the sequence a, b, with the first entry being the most stable.